Record 1
PaAsHRh GGA-PBE optimized geometry; total DFT energy (no corrections) = -7.005 eV per atom; magnetization = 0.00 μB/cell; ρ = 11.62 g/cm³
1.0
4.0947 0.0000 0.0000
0.0000 4.0947 0.0000
0.0000 0.0000 6.9842
Pa As H Rh
2 2 2 2
Direct
0.5000 0.0000 0.6635
0.0000 0.5000 0.3365
0.0000 0.5000 0.7724
0.5000 0.0000 0.2276
0.0000 0.0000 0.5000
0.5000 0.5000 0.5000
0.5000 0.5000 0.0000
0.0000 0.0000 0.0000


Record 2
Pa2AsHRu6 GGA-PBE optimized geometry; total DFT energy (no corrections) = -8.374 eV per atom; magnetization = 0.00 μB/cell; ρ = 11.80 g/cm³
1.0
-1.8466 3.9480 0.6367
-2.4735 -0.5766 -3.5988
-5.9231 -3.5178 4.6347
Pa As H Ru
2 1 1 6
Direct
0.0000 0.0000 0.7308
0.0000 0.0000 0.2692
0.5000 0.5000 0.0000
0.5000 0.5000 0.5000
0.5000 0.0000 0.0000
0.5000 0.0000 0.5000
0.0000 0.5000 0.0000
0.0000 0.5000 0.5000
0.5000 0.5000 0.7205
0.5000 0.5000 0.2795


Record 3
PaAsH2Ru2 GGA-PBE optimized geometry; total DFT energy (no corrections) = -6.866 eV per atom; magnetization = 0.00 μB/cell; ρ = 10.76 g/cm³
1.0
-0.2688 5.8190 -0.1563
-0.5977 -0.1569 -4.8131
-5.3586 -0.1943 1.9835
Pa As H Ru
2 2 4 4
Direct
0.7500 0.1848 0.6983
0.2500 0.8152 0.3017
0.2500 0.2065 0.8036
0.7500 0.7935 0.1964
0.2500 0.3057 0.3345
0.2500 0.6344 0.6287
0.7500 0.6943 0.6655
0.7500 0.3656 0.3713
0.5149 0.2993 0.1639
0.9851 0.2993 0.1639
0.0149 0.7007 0.8361
0.4851 0.7007 0.8361


Record 4
PaAsHRu GGA-PBE optimized geometry; total DFT energy (no corrections) = -7.387 eV per atom; magnetization = 0.00 μB/cell; ρ = 11.55 g/cm³
1.0
4.1323 0.0000 0.0000
0.0000 4.1323 0.0000
0.0000 0.0000 6.8723
Pa As H Ru
2 2 2 2
Direct
0.5000 0.0000 0.6722
0.0000 0.5000 0.3278
0.0000 0.5000 0.7860
0.5000 0.0000 0.2140
0.0000 0.0000 0.5000
0.5000 0.5000 0.5000
0.5000 0.5000 0.0000
0.0000 0.0000 0.0000


Record 5
Pa2SbAsH2 GGA-PBE optimized geometry; total DFT energy (no corrections) = -6.446 eV per atom; magnetization = 0.01 μB/cell; ρ = 10.20 g/cm³
1.0
-3.1047 -0.6222 2.3340
-0.3113 -0.5670 -3.8802
2.2394 -7.6534 0.9387
Pa Sb As H
2 1 1 2
Direct
0.3333 0.6667 0.7700
0.6667 0.3333 0.2300
0.0000 0.0000 0.5000
0.0000 0.0000 0.0000
0.3333 0.6667 0.2461
0.6667 0.3333 0.7539


Record 6
AsH3Pb GGA-PBE optimized geometry; energy above the lowest structure with this stoichiometry = 1.91 eV/f.u.; total DFT energy (no corrections) = -2.755 eV per atom; magnetization = 1.71 μB/cell; ρ = 6.57 g/cm³
1.0
4.1621 0.0000 0.0000
0.0000 4.1621 0.0000
0.0000 0.0000 4.1621
Pb H As
1 3 1
Direct
0.0000 0.0000 0.0000
0.0000 0.5000 0.0000
0.0000 0.0000 0.5000
0.5000 0.0000 0.0000
0.5000 0.5000 0.5000


Record 7
AsH2Pb2 GGA-PBE optimized geometry; energy above the lowest structure with this stoichiometry = 0.00 eV/f.u.; total DFT energy (no corrections) = -3.459 eV per atom; magnetization = 0.00 μB/cell; ρ = 8.25 g/cm³
1.0
-0.2036 0.6451 3.9150
5.2181 -4.0182 -1.0824
4.6412 6.2390 -0.7866
As H Pb
2 4 4
Direct
0.5949 0.1898 0.0397
0.4051 0.8102 0.5397
0.8627 0.7255 0.1519
0.3305 0.6609 0.8876
0.1373 0.2745 0.6519
0.6695 0.3391 0.3876
0.2678 0.5357 0.1122
0.0014 0.0029 0.7940
0.7322 0.4643 0.6122
0.9986 0.9971 0.2940


Record 8
As3HPb GGA-PBE optimized geometry; energy above the lowest structure with this stoichiometry = 0.00 eV/f.u.; total DFT energy (no corrections) = -3.676 eV per atom; magnetization = 0.00 μB/cell; ρ = 7.71 g/cm³
1.0
4.5348 0.0000 0.0000
0.0000 4.5348 0.0000
0.0000 0.0000 4.5348
Pb H As
1 1 3
Direct
0.5000 0.5000 0.5000
0.0000 0.0000 0.0000
0.0000 0.5000 0.0000
0.0000 0.0000 0.5000
0.5000 0.0000 0.0000


Record 9
AsHPb GGA-PBE optimized geometry; energy above the lowest structure with this stoichiometry = 0.35 eV/f.u.; total DFT energy (no corrections) = -3.697 eV per atom; magnetization = 0.00 μB/cell; ρ = 7.33 g/cm³
1.0
-2.2541 -3.3600 1.4183
3.6285 -1.8981 1.2700
-0.9861 4.1486 1.7807
Pb H As
1 1 1
Direct
0.9115 0.9115 0.8229
0.5850 0.5850 0.1700
0.3535 0.3535 0.7071


Record 10
AsHPb GGA-PBE optimized geometry; energy above the lowest structure with this stoichiometry = 0.05 eV/f.u.; total DFT energy (no corrections) = -3.798 eV per atom; magnetization = 0.00 μB/cell; ρ = 6.78 g/cm³
1.0
6.7005 1.3625 0.0000
-1.3566 6.0482 0.0000
0.0000 0.0000 6.5451
Pb H As
4 4 4
Direct
0.1804 0.7581 0.0787
0.3196 0.2419 0.5787
0.8196 0.2419 0.9213
0.6804 0.7581 0.4213
0.3515 0.2564 0.0238
0.1485 0.7436 0.5238
0.6485 0.7436 0.9762
0.8515 0.2564 0.4762
0.1683 0.2583 0.1651
0.3317 0.7417 0.6651
0.8317 0.7417 0.8349
0.6683 0.2583 0.3349


Record 11
AsH2Pb GGA-PBE optimized geometry; energy above the lowest structure with this stoichiometry = 0.00 eV/f.u.; total DFT energy (no corrections) = -3.321 eV per atom; magnetization = 0.00 μB/cell; ρ = 7.58 g/cm³
1.0
4.7852 0.0000 0.0000
0.0000 4.7852 0.0000
2.3926 2.3926 5.4360
Pb H As
2 4 2
Direct
0.0000 0.0000 0.0000
0.7500 0.2500 0.5000
0.3806 0.1250 0.2500
0.3694 0.6250 0.2500
0.3750 0.6194 0.7500
0.8750 0.6306 0.7500
0.5000 0.5000 0.0000
0.2500 0.7500 0.5000


Record 12
AsH3Pb GGA-PBE optimized geometry; energy above the lowest structure with this stoichiometry = 0.00 eV/f.u.; total DFT energy (no corrections) = -3.137 eV per atom; magnetization = 0.00 μB/cell; ρ = 7.76 g/cm³
1.0
-3.5765 0.1216 1.6418
0.7798 -3.3329 1.9456
1.4499 2.0925 3.0035
Pb H As
1 3 1
Direct
0.5000 0.5000 0.5000
0.0000 0.5000 0.0000
0.0000 0.0000 0.5000
0.5000 0.0000 0.0000
0.0000 0.0000 0.0000


Record 13
AsH2Pb2 GGA-PBE optimized geometry; energy above the lowest structure with this stoichiometry = 1.16 eV/f.u.; total DFT energy (no corrections) = -3.227 eV per atom; magnetization = 0.00 μB/cell; ρ = 9.14 g/cm³
1.0
7.3594 0.0000 0.0000
0.0000 7.3594 0.0000
0.0000 0.0000 3.2952
Pb H As
4 4 2
Direct
0.1640 0.6640 0.5000
0.6640 0.8360 0.5000
0.8360 0.3360 0.5000
0.3360 0.1640 0.5000
0.3808 0.8808 0.0000
0.8808 0.6192 0.0000
0.6192 0.1192 0.0000
0.1192 0.3808 0.0000
0.0000 0.0000 0.0000
0.5000 0.5000 0.0000


Record 14
As2HPb GGA-PBE optimized geometry; energy above the lowest structure with this stoichiometry = 1.47 eV/f.u.; total DFT energy (no corrections) = -3.316 eV per atom; magnetization = 0.00 μB/cell; ρ = 7.50 g/cm³
1.0
-0.4584 -3.5869 3.1905
0.3341 0.9164 4.7227
-3.9249 -0.2585 2.7899
Pb H As
1 1 2
Direct
0.5000 0.5000 0.5000
0.0000 0.0000 0.0000
0.2500 0.2500 0.2500
0.7500 0.7500 0.7500


Record 15
As3HPb GGA-PBE optimized geometry; energy above the lowest structure with this stoichiometry = 5.13 eV/f.u.; total DFT energy (no corrections) = -2.649 eV per atom; magnetization = 0.62 μB/cell; ρ = 4.30 g/cm³
1.0
-4.5537 1.6865 -2.6030
-1.7744 -5.2090 -0.2708
-2.5439 0.6144 4.8484
Pb H As
1 1 3
Direct
0.0000 0.0000 0.0000
0.5000 0.5000 0.5000
0.0000 0.5000 0.0000
0.0000 0.0000 0.5000
0.5000 0.0000 0.0000


Record 16
As2HPb GGA-PBE optimized geometry; energy above the lowest structure with this stoichiometry = 0.00 eV/f.u.; total DFT energy (no corrections) = -3.683 eV per atom; magnetization = 0.00 μB/cell; ρ = 6.85 g/cm³
1.0
5.0676 0.0000 0.0000
0.0000 5.0676 0.0000
2.5338 2.5338 6.7631
Pb H As
2 2 4
Direct
0.0000 0.0000 0.0000
0.7500 0.2500 0.5000
0.5000 0.5000 0.0000
0.2500 0.7500 0.5000
0.4619 0.1250 0.2500
0.2881 0.6250 0.2500
0.3750 0.5381 0.7500
0.8750 0.7119 0.7500


Record 17
AsHPb GGA-PBE optimized geometry; energy above the lowest structure with this stoichiometry = 0.00 eV/f.u.; total DFT energy (no corrections) = -3.815 eV per atom; magnetization = 0.00 μB/cell; ρ = 6.06 g/cm³
1.0
4.1326 0.0731 -0.1928
-0.0791 4.1325 -0.1928
1.0583 1.0980 8.9871
As H Pb
2 2 2
Direct
0.7196 0.7196 0.1881
0.2804 0.2804 0.8119
0.9565 0.9565 0.4722
0.0435 0.0435 0.5278
0.2292 0.2292 0.1313
0.7708 0.7708 0.8687


Record 18
AsH2Pb GGA-PBE optimized geometry; energy above the lowest structure with this stoichiometry = 1.03 eV/f.u.; total DFT energy (no corrections) = -3.064 eV per atom; magnetization = 0.00 μB/cell; ρ = 8.34 g/cm³
1.0
-3.5162 -2.3944 0.6898
-3.4344 1.7264 1.9486
-3.5981 0.7580 -2.2476
Pb H As
1 2 1
Direct
0.5000 0.5000 0.5000
0.2500 0.2500 0.2500
0.7500 0.7500 0.7500
0.0000 0.0000 0.0000


Record 19
AsH2Pd9Pb3 GGA-PBE optimized geometry; total DFT energy (no corrections) = -4.834 eV per atom; magnetization = 0.00 μB/cell; ρ = 11.22 g/cm³
1.0
5.8047 0.0000 0.0000
-2.9023 5.0270 0.0000
0.0000 0.0000 8.4036
As H Pd Pb
1 2 9 3
Direct
0.0000 0.0000 0.5000
0.3333 0.6667 0.1041
0.6667 0.3333 0.8959
0.8300 0.1700 0.7144
0.8300 0.6599 0.7144
0.3401 0.1700 0.7144
0.6599 0.8300 0.2856
0.1700 0.3401 0.2856
0.1700 0.8300 0.2856
0.5000 0.0000 0.0000
0.0000 0.5000 0.0000
0.5000 0.5000 0.0000
0.3333 0.6667 0.6393
0.0000 0.0000 0.0000
0.6667 0.3333 0.3607


Record 20
AsH3Pd8Pb2 GGA-PBE optimized geometry; total DFT energy (no corrections) = -4.687 eV per atom; magnetization = 0.00 μB/cell; ρ = 10.68 g/cm³
1.0
5.8434 0.0000 0.0000
2.9217 5.0605 0.0000
2.9217 1.6868 7.0621
As H Pd Pb
1 3 8 2
Direct
0.8540 0.8540 0.4381
0.5245 0.9951 0.9558
0.9951 0.5245 0.9558
0.5245 0.5245 0.9558
0.2731 0.2731 0.1806
0.7283 0.7283 0.8150
0.2123 0.2123 0.8599
0.7155 0.2123 0.8599
0.2123 0.7155 0.8599
0.7683 0.2735 0.1899
0.2735 0.7683 0.1899
0.7683 0.7683 0.1899
0.1505 0.1505 0.5485
0.4923 0.4923 0.5231